No. 1
# KBe2S, relaxed, DFT PBE
data_KBe2S
_cell_length_a 4.727
_cell_length_b 4.727
_cell_length_c 4.727
_cell_angle_alpha 60.00
_cell_angle_beta 60.00
_cell_angle_gamma 60.00
_symmetry_space_group_name_H-M 'P 1'
_symmetry_Int_Tables_number 1
loop_
_symmetry_equiv_pos_as_xyz
'x,y,z'
loop_
_atom_site_label
_atom_site_fract_x
_atom_site_fract_y
_atom_site_fract_z
S1 0.000 0.000 0.000
Be1 0.250 0.250 0.250
Be2 0.750 0.750 0.750
K1 0.500 0.500 0.500
# M_tot	0.00	μB per atom
# raw formation energy	4.08	eV/f.u.
# ΔE to the lowest computed polymorph	586	meV per atom
# uncorrected energy	-2.15	eV per atom
# space group	Fm-3m, No. 225

***

No. 2
# K2Na3Ge2, relaxed, DFT PBE
data_K2Na3Ge2
_cell_length_a 5.323
_cell_length_b 6.844
_cell_length_c 7.779
_cell_angle_alpha 69.75
_cell_angle_beta 69.99
_cell_angle_gamma 67.11
_symmetry_space_group_name_H-M 'P 1'
_symmetry_Int_Tables_number 1
loop_
_symmetry_equiv_pos_as_xyz
'x,y,z'
loop_
_atom_site_label
_atom_site_fract_x
_atom_site_fract_y
_atom_site_fract_z
Na1 0.500 0.000 0.000
Na2 0.349 0.852 0.449
Na3 0.651 0.148 0.551
K1 0.158 0.472 0.213
K2 0.842 0.528 0.787
Ge1 0.901 0.027 0.170
Ge2 0.099 0.973 0.830
# M_tot	0.00	μB per atom
# ΔE_f	-0.03	eV per atom
# uncorrected energy	-2.23	eV per atom
# space group	C2/m, No. 12

***

No. 3
# In2AgMo, relaxed, DFT PBE
data_In2AgMo
_cell_length_a 6.002
_cell_length_b 6.002
_cell_length_c 6.002
_cell_angle_alpha 149.86
_cell_angle_beta 132.85
_cell_angle_gamma 56.99
_symmetry_space_group_name_H-M 'P 1'
_symmetry_Int_Tables_number 1
loop_
_symmetry_equiv_pos_as_xyz
'x,y,z'
loop_
_atom_site_label
_atom_site_fract_x
_atom_site_fract_y
_atom_site_fract_z
Ag1 0.267 0.767 0.500
Mo1 0.499 0.499 0.000
In1 0.003 0.003 0.000
In2 0.731 0.231 0.500
# M_tot	0.00	μB per atom
# ΔE to the lowest computed polymorph	82	meV per atom
# ΔE_f	0.33	eV per atom
# uncorrected energy	-4.46	eV per atom
# space group	Imm2, No. 44

***

No. 4
# BeCr2Os, relaxed, DFT PBE
data_BeCr2Os
_cell_length_a 4.033
_cell_length_b 4.033
_cell_length_c 2.967
_cell_angle_alpha 90.00
_cell_angle_beta 90.00
_cell_angle_gamma 90.00
_symmetry_space_group_name_H-M 'P 1'
_symmetry_Int_Tables_number 1
loop_
_symmetry_equiv_pos_as_xyz
'x,y,z'
loop_
_atom_site_label
_atom_site_fract_x
_atom_site_fract_y
_atom_site_fract_z
Cr1 0.500 0.500 0.000
Cr2 0.000 0.000 0.000
Os1 0.500 0.000 0.500
Be1 0.000 0.500 0.500
# M_tot	0.59	μB per atom
# ΔE_f	0.16	eV per atom
# uncorrected energy	-8.39	eV per atom
# space group	P4/mmm, No. 123

***

No. 5
# DyThSn2, relaxed, DFT PBE
data_DyThSn2
_cell_length_a 4.492
_cell_length_b 4.467
_cell_length_c 6.230
_cell_angle_alpha 90.00
_cell_angle_beta 111.13
_cell_angle_gamma 90.00
_symmetry_space_group_name_H-M 'P 1'
_symmetry_Int_Tables_number 1
loop_
_symmetry_equiv_pos_as_xyz
'x,y,z'
loop_
_atom_site_label
_atom_site_fract_x
_atom_site_fract_y
_atom_site_fract_z
Dy1 0.447 0.500 0.434
Th1 0.717 0.000 0.973
Sn1 0.177 0.500 0.893
Sn2 0.990 0.000 0.518
# M_tot	0.00	μB per atom
# ΔE to the lowest computed polymorph	0	meV per atom
# ΔE_f	-0.62	eV per atom
# uncorrected energy	-5.63	eV per atom
# space group	Amm2, No. 38

***

No. 6
# Zr2V2Co, relaxed, DFT PBE
data_Zr2V2Co
_cell_length_a 6.634
_cell_length_b 6.634
_cell_length_c 4.144
_cell_angle_alpha 90.00
_cell_angle_beta 90.00
_cell_angle_gamma 90.00
_symmetry_space_group_name_H-M 'P 1'
_symmetry_Int_Tables_number 1
loop_
_symmetry_equiv_pos_as_xyz
'x,y,z'
loop_
_atom_site_label
_atom_site_fract_x
_atom_site_fract_y
_atom_site_fract_z
V1 0.368 0.132 0.500
V2 0.632 0.868 0.500
V3 0.132 0.632 0.500
V4 0.868 0.368 0.500
Co1 0.500 0.500 0.000
Co2 0.000 0.000 0.000
Zr1 0.166 0.334 0.000
Zr2 0.834 0.666 0.000
Zr3 0.666 0.166 0.000
Zr4 0.334 0.834 0.000
# M_tot	0.00	μB per atom
# ΔE to the lowest computed polymorph	413	meV per atom
# ΔE_f	0.52	eV per atom
# uncorrected energy	-7.97	eV per atom
# space group	P4/mbm, No. 127